Compound: PaAlCrO6
Source: Alexandria
Functional: PBE with a Hubbard U
Structure: relaxed

Cell lengths 4.9830, 4.9830, 4.7743 Å; angles 90.00, 90.00, 120.00 degrees
Sites, in units of the cell vectors:
Pa1 0.0000 0.0000 0.0000
Al1 0.6667 0.3333 0.5000
Cr1 0.3333 0.6667 0.5000
O1 0.3552 0.0030 0.7216
O2 0.3552 0.3522 0.2784
O3 0.6478 0.0030 0.2784
O4 0.6478 0.6448 0.7216
O5 0.9970 0.3522 0.7216
O6 0.9970 0.6448 0.2784

Results
* V: 103 Å³ per cell
* VASP energy: -75.12 eV per cell